Entry 1:
Material: ScInBr2
Method: DFT, GGA-PBEsol
State: relaxed

```
4
Lattice="5.2495 0.0000 0.0000 0.0000 5.2495 0.0000 0.0000 0.0000 3.5257" Properties=species:S:1:pos:R:3 pbc="T T T"
Sc 0.0000 0.0000 0.0000
In 2.6248 2.6248 0.0000
Br 0.0000 2.6248 1.7629
Br 2.6248 0.0000 1.7629
```

Calculated values
Magnetic moment ... 1.3 μB per formula unit
Energy above the most stable polymorph in this dataset ... 387.2 meV/atom
Calculated total energy ... -3.796 eV/atom
Energy relative to the elements, uncorrected ... -0.464 eV/atom
Fermi-level density of states ... 3.54 states/eV/cell



Entry 2:
Material: SrMnHg
Method: DFT, GGA-PBEsol
State: relaxed

```
3
Lattice="-1.8256 1.8256 5.6337 1.8256 -1.8256 5.6337 1.8256 1.8256 -5.6337" Properties=species:S:1:pos:R:3 pbc="T T T"
Sr 0.0000 0.0000 0.0000
Mn 0.0000 0.0000 8.0003
Hg 0.0000 0.0000 3.3825
```

Calculated values
Magnetic moment ... 4.1 μB per formula unit
Calculated total energy ... -3.864 eV/atom
Formation enthalpy at 0 K ... 0.192 eV/atom
Fermi-level density of states ... 2.19 states/eV/cell



Entry 3:
Material: ZrMnNi
Method: DFT, GGA-PBEsol
State: relaxed

```
6
Lattice="-2.3261 2.4416 3.5808 2.3261 -2.4416 3.5808 2.3261 2.4416 -3.5808" Properties=species:S:1:pos:R:3 pbc="T T T"
Zr 0.0000 1.2208 0.8724
Zr 2.3261 1.2208 2.7085
Mn 1.1631 1.2208 -1.7904
Mn 1.1631 -1.2208 1.7904
Ni 2.3261 0.0000 0.0000
Ni 0.0000 0.0000 3.5808
```

Calculated values
Magnetic moment ... 0.0 μB per formula unit
Calculated total energy ... -8.609 eV/atom
Formation enthalpy at 0 K ... -0.273 eV/atom
Fermi-level density of states ... 7.61 states/eV/cell



Entry 4:
Material: ZrTcPb2
Method: DFT, GGA-PBEsol
State: relaxed

```
4
Lattice="3.0391 -4.5300 0.0000 3.0391 4.5300 0.0000 -1.1423 0.0000 3.0527" Properties=species:S:1:pos:R:3 pbc="T T T"
Zr 0.0000 0.0000 0.0000
Tc 3.0391 0.0000 0.0000
Pb 0.9484 2.2650 1.5264
Pb 0.9484 -2.2650 1.5264
```

Calculated values
Magnetic moment ... 0.0 μB per formula unit
Energy above the most stable polymorph in this dataset ... 191.0 meV/atom
Calculated total energy ... -6.672 eV/atom
Formation enthalpy at 0 K ... 0.416 eV/atom
Fermi-level density of states ... 3.56 states/eV/cell